Computed, not measured: a geometry-optimized UPaO4 structure at the PBE level of DFT.

abc: 6.679 6.679 6.679
angles: 131.78 131.78 70.58
Fractional coordinates of all 12 atoms:
U1 0.375 0.625 0.750
U2 0.625 0.375 0.250
Pa1 0.125 0.875 0.250
Pa2 0.875 0.125 0.750
O1 0.000 0.246 0.246
O2 0.000 0.754 0.754
O3 0.246 0.000 0.746
O4 0.246 0.500 0.246
O5 0.500 0.246 0.746
O6 0.500 0.754 0.254
O7 0.754 0.000 0.254
O8 0.754 0.500 0.754

DFT total energy ... -122.48 eV per cell
SG ... No. 141
Raw formation energy ... -3.4375 eV/atom
Magnetization ... 6.07 μB/cell
DOS(E_F) ... 16.4 states/eV/cell

Computed, not measured: a geometry-optimized UPa2O6 structure at the PBE level of DFT.

abc: 3.864 3.864 9.462
angles: 90.00 90.00 120.00
Fractional coordinates of all 9 atoms:
U1 0.000 0.000 0.000
Pa1 0.333 0.667 0.669
Pa2 0.667 0.333 0.331
O1 0.000 0.000 0.256
O2 0.000 0.000 0.744
O3 0.333 0.667 0.417
O4 0.333 0.667 0.912
O5 0.667 0.333 0.088
O6 0.667 0.333 0.583

DFT total energy ... -91.37 eV per cell
SG ... No. 164
Raw formation energy ... -3.4828 eV/atom
Magnetization ... 4.03 μB/cell
DOS(E_F) ... 10.5 states/eV/cell

Computed, not measured: a geometry-optimized UPa4O10 structure at the PBE level of DFT.

abc: 15.929 15.929 15.929
angles: 13.92 13.92 13.92
Fractional coordinates of all 15 atoms:
U1 0.000 0.000 0.000
Pa1 0.200 0.200 0.200
Pa2 0.400 0.400 0.400
Pa3 0.600 0.600 0.600
Pa4 0.800 0.800 0.800
O1 0.051 0.051 0.051
O2 0.150 0.150 0.150
O3 0.250 0.250 0.250
O4 0.351 0.351 0.351
O5 0.450 0.450 0.450
O6 0.550 0.550 0.550
O7 0.649 0.649 0.649
O8 0.750 0.750 0.750
O9 0.850 0.850 0.850
O10 0.949 0.949 0.949

DFT total energy ... -151.61 eV per cell
SG ... No. 166
Raw formation energy ... -3.5173 eV/atom
Magnetization ... 4.44 μB/cell
DOS(E_F) ... 17.0 states/eV/cell

Computed, not measured: a geometry-optimized YUPaO6 structure at the PBE level of DFT.

abc: 5.783 5.783 9.491
angles: 90.00 90.00 120.00
Fractional coordinates of all 18 atoms:
Y1 0.333 0.667 0.250
Y2 0.667 0.333 0.750
U1 0.333 0.667 0.750
U2 0.667 0.333 0.250
Pa1 0.000 0.000 0.000
Pa2 0.000 0.000 0.500
O1 0.011 0.332 0.629
O2 0.011 0.679 0.871
O3 0.321 0.332 0.871
O4 0.321 0.989 0.629
O5 0.332 0.011 0.129
O6 0.332 0.321 0.371
O7 0.668 0.679 0.629
O8 0.668 0.989 0.871
O9 0.679 0.011 0.371
O10 0.679 0.668 0.129
O11 0.989 0.321 0.129
O12 0.989 0.668 0.371

DFT total energy ... -174.25 eV per cell
SG ... No. 163
Raw formation energy ... -3.3473 eV/atom
Magnetization ... 4.04 μB/cell
DOS(E_F) ... 15.4 states/eV/cell

Computed, not measured: a geometry-optimized UPaZnO6 structure at the PBE level of DFT.

abc: 5.839 5.839 8.762
angles: 90.00 90.00 120.00
Fractional coordinates of all 18 atoms:
U1 0.333 0.667 0.250
U2 0.667 0.333 0.750
Pa1 0.333 0.667 0.750
Pa2 0.667 0.333 0.250
Zn1 0.000 0.000 0.000
Zn2 0.000 0.000 0.500
O1 0.005 0.344 0.132
O2 0.005 0.660 0.368
O3 0.340 0.344 0.368
O4 0.340 0.995 0.132
O5 0.344 0.005 0.632
O6 0.344 0.340 0.868
O7 0.656 0.660 0.132
O8 0.656 0.995 0.368
O9 0.660 0.005 0.868
O10 0.660 0.656 0.632
O11 0.995 0.340 0.632
O12 0.995 0.656 0.868

DFT total energy ... -152.82 eV per cell
SG ... No. 163
Raw formation energy ... -2.7336 eV/atom
Magnetization ... 2.01 μB/cell
DOS(E_F) ... 7.3 states/eV/cell

The highest magnetization belongs to which entry? UPaO4

Which value of DFT total energy does entry 1 give? -122.48 eV per cell

DFT total energy of number 1 (UPaO4)? -122.48 eV per cell